Record 1
Ca2YIn | GGA-PBE | optimized geometry

The density is 3.51 Mg/m³. The calculated volume comes out at 134.35 Å³/f.u. The value obtained for the electronic total energy is -3.3780 eV per atom. As for the spin magnetization: 1.494 μB/cell.

It has space group R-3m (No. 166, hexagonal axes), with a = 3.6774 Å, b = 3.6774 Å, c = 34.4144 Å, α = 90.00°, β = 90.00° and γ = 120.00°. The asymmetric unit holds Ca at (0.0000, 0.0000, 0.2417), Y at (0.0000, 0.0000, 0.0000) and In at (0.0000, 0.0000, 0.5000).

Record 2
Ca2YIn | GGA-PBE | optimized geometry

The density is 3.50 Mg/m³. The calculated volume comes out at 134.60 Å³/f.u. The value obtained for the electronic total energy is -3.3847 eV per atom. As for the spin magnetization: 2.211 μB/cell.

It has space group R3m (No. 160, hexagonal axes), with a = 3.6945 Å, b = 3.6945 Å, c = 34.1590 Å, α = 90.00°, β = 90.00° and γ = 120.00°. The asymmetric unit holds Ca at (0.0000, 0.0000, 0.0000), Ca at (0.0000, 0.0000, 0.1820), Y at (0.0000, 0.0000, 0.4251) and In at (0.0000, 0.0000, 0.5910).

Record 3
Ca3YIn | GGA-PBE | optimized geometry

As for the energy above the most stable polymorph in this dataset: 2.94 eV per formula unit. The density is 2.42 Mg/m³. The calculated volume comes out at 222.34 Å³/f.u. The value obtained for the electronic total energy is -2.2193 eV per atom. As for the spin magnetization: 2.164 μB/cell.

It has space group Pm-3m (No. 221), with a = 6.058 Å, b = 6.058 Å, c = 6.058 Å, α = 90.00°, β = 90.00° and γ = 90.00°. The asymmetric unit holds Ca at (0.000, 0.000, 0.500), Y at (0.000, 0.000, 0.000) and In at (0.500, 0.500, 0.500).

Record 4
CaYIn | GGA-PBE | optimized geometry

As for the energy above the most stable polymorph in this dataset: 0.53 eV per formula unit. The density is 4.57 Mg/m³. The calculated volume comes out at 88.58 Å³/f.u. The value obtained for the electronic total energy is -3.9601 eV per atom. As for the spin magnetization: 0.000 μB/cell.

It has space group Pnma (No. 62), with a = 7.250 Å, b = 4.836 Å, c = 10.106 Å, α = 90.00°, β = 90.00° and γ = 90.00°. The asymmetric unit holds Ca at (0.132, 0.250, 0.069), Y at (0.110, 0.250, 0.390) and In at (0.139, 0.250, 0.733).

- What is the formula in the fourth record?
  CaYIn

- The lowest density belongs to which entry?
  Ca3YIn

- Which value of density does entry 4 give?
  4.57 Mg/m³

What did the second record say?
Ca2YIn | GGA-PBE | optimized geometry

The density is 3.50 Mg/m³. The calculated volume comes out at 134.60 Å³/f.u. The value obtained for the electronic total energy is -3.3847 eV per atom. As for the spin magnetization: 2.211 μB/cell.

It has space group R3m (No. 160, hexagonal axes), with a = 3.6945 Å, b = 3.6945 Å, c = 34.1590 Å, α = 90.00°, β = 90.00° and γ = 120.00°. The asymmetric unit holds Ca at (0.0000, 0.0000, 0.0000), Ca at (0.0000, 0.0000, 0.1820), Y at (0.0000, 0.0000, 0.4251) and In at (0.0000, 0.0000, 0.5910).